No. 1
The following is a DFT calculation (PBE-GGA) of a geometry-optimized MoRhAu2 structure.

Cell: 2.8524 2.8524 27.9025 Å, 90.00 90.00 120.00°
Space group R-3m (No. 166, hexagonal axes)
One atom of each set of equivalent atoms:
Mo 0.0000 0.0000 0.0000 (multiplicity 3)
Rh 0.0000 0.0000 0.5000 (multiplicity 3)
Au 0.0000 0.0000 0.2500 (multiplicity 6)

---

No. 2
The following is a DFT calculation (PBE-GGA) of a geometry-optimized MoRhAu2 structure.

Cell: 6.421 6.421 6.421 Å, 90.00 90.00 90.00°
Space group F-43m (No. 216)
One atom of each set of equivalent atoms:
Mo 0.000 0.000 0.000 (multiplicity 4)
Rh 0.250 0.250 0.750 (multiplicity 4)
Au 0.000 0.000 0.500 (multiplicity 4)
Au 0.250 0.250 0.250 (multiplicity 4)

---

| no. | energy relative to the elements (eV/atom) |
| --- | --- |
| 1 | 0.27 |
| 2 | 0.32 |